This record from the Alexandria database describes an optimized crystal structure of K4Sc3AlO8. The functional is PBE.

abc: 6.3697 6.3697 18.4087
angles: 90.00 90.00 120.00
Space group R-3m (No. 166, hexagonal axes)
One atom of each set of equivalent atoms:
K 0.0000 0.0000 0.0000 x3
K 0.0000 0.5000 0.0000 x9
Sc 0.0000 0.5000 0.5000 x9
Al 0.0000 0.0000 0.5000 x3
O 0.0000 0.0000 0.2259 x6
O 0.0167 0.5084 0.2244 x18

Calculated values
The uncorrected formation energy comes out at -2.61 eV/atom.

***

This record from the Alexandria database describes an optimized crystal structure of Sr2BeHgAu6. The functional is PBE.

abc: 6.4877 6.5225 7.4187
angles: 89.15 64.23 60.30
Space group P-1 (No. 2)
One atom of each set of equivalent atoms:
Sr 0.0415 0.2346 0.1788 x2
Be 0.5000 0.0000 0.5000 x1
Hg 0.5000 0.5000 0.0000 x1
Au 0.0313 0.2252 0.6711 x2
Au 0.4068 0.3279 0.3553 x2
Au 0.4206 0.7766 0.3334 x2

***

This record from the Alexandria database describes an optimized crystal structure of NaNdSc. The functional is PBE.

abc: 3.4797 3.4797 8.9714
angles: 90.00 90.00 120.00
Space group P3m1 (No. 156)
One atom of each set of equivalent atoms:
Na 0.0000 0.0000 0.0000 x1
Nd 0.3333 0.6667 0.6336 x1
Sc 0.6667 0.3333 0.3381 x1

Calculated values
For the offset from the most stable computed form, the calculation gives 0.000 eV/atom.

***

This record from the Alexandria database describes an optimized crystal structure of Pa3B8C. The functional is PBE.

abc: 4.7973 4.7973 6.9949
angles: 90.00 90.00 120.00
Space group P3m1 (No. 156)
One atom of each set of equivalent atoms:
Pa 0.0000 0.0000 0.0000 x1
Pa 0.0000 0.0000 0.4310 x1
Pa 0.3333 0.6667 0.7729 x1
B 0.0897 0.5449 0.2164 x3
B 0.4269 0.2135 0.7049 x3
B 0.6667 0.3333 0.1630 x1
B 0.6667 0.3333 0.9072 x1
C 0.3333 0.6667 0.4081 x1

***

This record from the Alexandria database describes an optimized crystal structure of InHgSe2. The functional is PBE.

abc: 4.0133 4.0133 21.8260
angles: 90.00 90.00 120.00
Space group R3m (No. 160, hexagonal axes)
One atom of each set of equivalent atoms:
In 0.0000 0.0000 0.0000 x3
Hg 0.0000 0.0000 0.8307 x3
Se 0.0000 0.0000 0.4073 x3
Se 0.0000 0.0000 0.5924 x3

Calculated values
The uncorrected formation energy comes out at -0.27 eV/atom.

***

This record from the Alexandria database describes an optimized crystal structure of BeHgS2. The functional is PBE.

abc: 6.4987 7.6999 6.2854
angles: 90.00 90.00 90.00
Space group Pna2_1 (No. 33)
One atom of each set of equivalent atoms:
Be 0.0691 0.1256 0.0000 x4
Hg 0.0876 0.6247 0.9942 x4
S 0.0498 0.0923 0.6627 x4
S 0.1141 0.6564 0.5876 x4

Calculated values
For the offset from the most stable computed form, the calculation gives 0.000 eV/atom. The uncorrected formation energy comes out at -0.56 eV/atom.

***

This record from the Alexandria database describes an optimized crystal structure of TiCrTePS. The functional is PBE.

abc: 8.4173 3.3255 7.0745
angles: 90.00 116.83 90.00
Space group Cm (No. 8)
One atom of each set of equivalent atoms:
Ti 0.0000 0.0000 0.0000 x2
Cr 0.4903 0.5000 0.3590 x2
Te 0.0927 0.5000 0.7088 x2
P 0.3273 0.0000 0.0973 x2
S 0.1786 0.5000 0.3045 x2

Calculated values
For the offset from the most stable computed form, the calculation gives 0.256 eV/atom. The uncorrected formation energy comes out at -0.48 eV/atom.

***

This record from the Alexandria database describes an optimized crystal structure of Ho4IrBr5. The functional is PBE.

abc: 18.9563 3.9789 8.4999
angles: 90.00 102.04 90.00
Space group C2/m (No. 12)
One atom of each set of equivalent atoms:
Ho 0.0037 0.0000 0.2144 x4
Ho 0.1470 0.5000 0.0741 x4
Ir 0.0000 0.5000 0.0000 x2
Br 0.0000 0.5000 0.5000 x2
Br 0.1694 0.0000 0.3273 x4
Br 0.1808 0.0000 0.8456 x4

Calculated values
The uncorrected formation energy comes out at -1.46 eV/atom.

***

This record from the Alexandria database describes an optimized crystal structure of ThScHg2. The functional is PBE.

abc: 3.5124 3.5124 29.2121
angles: 90.00 90.00 120.00
Space group R-3m (No. 166, hexagonal axes)
One atom of each set of equivalent atoms:
Th 0.0000 0.0000 0.0000 x3
Sc 0.0000 0.0000 0.5000 x3
Hg 0.0000 0.0000 0.2413 x6

Calculated values
For the offset from the most stable computed form, the calculation gives 0.128 eV/atom.

***

This record from the Alexandria database describes an optimized crystal structure of LiCr2Tc. The functional is PBE.

abc: 6.5942 6.5942 5.0083
angles: 90.00 90.00 90.00
Space group I-42d (No. 122)
One atom of each set of equivalent atoms:
Li 0.0000 0.0000 0.0000 x4
Cr 0.2326 0.2500 0.6250 x8
Tc 0.0000 0.0000 0.5000 x4

***

This record from the Alexandria database describes an optimized crystal structure of BeInH2. The functional is PBE.

abc: 5.5122 5.5122 5.5122
angles: 90.00 90.00 90.00
Space group Fm-3m (No. 225)
One atom of each set of equivalent atoms:
Be 0.0000 0.0000 0.0000 x4
In 0.0000 0.0000 0.5000 x4
H 0.2500 0.2500 0.2500 x8

Calculated values
For the offset from the most stable computed form, the calculation gives 0.587 eV/atom.

***

This record from the Alexandria database describes an optimized crystal structure of RuPtBr2. The functional is PBE.

abc: 3.0212 5.6979 8.8389
angles: 90.00 90.00 90.00
Space group Cmmm (No. 65)
One atom of each set of equivalent atoms:
Ru 0.0000 0.0000 0.0000 x2
Pt 0.0000 0.0000 0.5000 x2
Br 0.0000 0.5000 0.2316 x4

Calculated values
For the offset from the most stable computed form, the calculation gives 0.621 eV/atom. The uncorrected formation energy comes out at 0.78 eV/atom.

***

E_tot across the listed records, respectively: -325.8 -31.3 -11.9 -91.1 -33.3 -58.1 -65.2 -100.3 -45.5 -113.1 -38.1 -31.1 eV for the cell shown.